# GGA-PBE LaNdPt, relaxed
# Density in g/cm3: 9.1
# Crystal system: trigonal
# E_form in kJ/mol of atoms: -61.2
# Excess energy over the best structure of this formula in the dataset in eV per atom: 0.1659
# DOS(E_F) in states/eV/f.u.: 4.0
data_LaNdPt
_space_group_name_H-M_alt 'P 3 m 1'
_space_group_IT_number 156
_space_group_name_Hall 'P 3 -2"'
_cell_length_a 4.7141
_cell_length_b 4.7141
_cell_length_c 4.5469
_cell_angle_alpha 90.00
_cell_angle_beta 90.00
_cell_angle_gamma 120.00
loop_
_atom_site_label
_atom_site_type_symbol
_atom_site_fract_x
_atom_site_fract_y
_atom_site_fract_z
La1 La 0.0000 0.0000 0.0000
Nd1 Nd 0.3333 0.6667 0.4684
Pt1 Pt 0.6667 0.3333 0.7106

=====

# GGA-PBE Ba3ScRu, relaxed
# Density in g/cm3: 4.4
# Crystal system: cubic
# E_form in kJ/mol of atoms: 50.3
# Excess energy over the best structure of this formula in the dataset in eV per atom: 0.0000
# DOS(E_F) in states/eV/f.u.: 9.3
data_Ba3ScRu
_space_group_name_H-M_alt 'P m -3 m'
_space_group_IT_number 221
_space_group_name_Hall '-P 4 2 3'
_cell_length_a 5.945
_cell_length_b 5.945
_cell_length_c 5.945
_cell_angle_alpha 90.00
_cell_angle_beta 90.00
_cell_angle_gamma 90.00
loop_
_atom_site_label
_atom_site_type_symbol
_atom_site_fract_x
_atom_site_fract_y
_atom_site_fract_z
Ba1 Ba 0.000 0.000 0.500
Sc1 Sc 0.500 0.500 0.500
Ru1 Ru 0.000 0.000 0.000

=====

# GGA-PBE SmCdRu, relaxed
# Density in g/cm3: 8.5
# Crystal system: monoclinic
# E_form in kJ/mol of atoms: -15.7
# DOS(E_F) in states/eV/f.u.: 3.6
data_SmCdRu
_space_group_name_H-M_alt 'C 1 2/m 1'
_space_group_IT_number 12
_space_group_name_Hall '-C 2y'
_cell_length_a 13.187
_cell_length_b 4.265
_cell_length_c 5.195
_cell_angle_alpha 90.00
_cell_angle_beta 103.49
_cell_angle_gamma 90.00
loop_
_atom_site_label
_atom_site_type_symbol
_atom_site_fract_x
_atom_site_fract_y
_atom_site_fract_z
Sm1 Sm 0.131 0.000 0.329
Cd1 Cd 0.071 0.500 0.784
Ru1 Ru 0.226 0.000 0.890

=====

Which of these has the highest E_form? Ba3ScRu